No. 1
Crystalline Li4MgCd4 at its relaxed geometry. Source: the Alexandria database, functional PBE.

Unit cell a=8.940 b=8.940 c=4.396 alpha=90.00 beta=90.00 gamma=90.00
Space group I4/mmm (No. 139)
One atom of each set of equivalent atoms:
Li: 0.000 0.328 0.000 [8 per cell]
Mg: 0.000 0.000 0.000 [2 per cell]
Cd: 0.170 0.170 0.500 [8 per cell]

Calculated values
- E_form (eV/atom) = -0.2012
- electronic total energy (eV per atom) = -1.64
- relative energy among the computed polymorphs (meV per atom) = 0
- volume (Å³/cell) = 351
- Fermi-level density of states (states/eV/f.u.) = 2.56

***

No. 2
Crystalline RbHgIO2 at its relaxed geometry. Source: the Alexandria database, functional PBE.

Unit cell a=4.730 b=4.730 c=5.907 alpha=90.00 beta=90.00 gamma=90.00
Space group P4/mmm (No. 123)
One atom of each set of equivalent atoms:
Rb: 0.000 0.000 0.000 [1 per cell]
Hg: 0.500 0.500 0.500 [1 per cell]
I: 0.500 0.500 0.000 [1 per cell]
O: 0.000 0.500 0.500 [2 per cell]

Calculated values
- electronic total energy (eV per atom) = -2.62
- formation energy (no corrections) (eV per atom) = -0.068
- relative energy among the computed polymorphs (meV per atom) = 0
- volume (Å³/cell) = 132
- Fermi-level density of states (states/eV/f.u.) = 5.38

***

No. 3
Crystalline Tb3PmPr2Y6 at its relaxed geometry. Source: the Alexandria database, functional PBE.

Unit cell a=6.244 b=10.809 c=11.877 alpha=90.00 beta=100.05 gamma=90.00
Space group C2/m (No. 12)
One atom of each set of equivalent atoms:
Tb: 0.000 0.000 0.000 [2 per cell]
Tb: 0.000 0.333 0.000 [4 per cell]
Pm: 0.000 0.500 0.500 [2 per cell]
Pr: 0.000 0.167 0.500 [4 per cell]
Y: 0.248 0.500 0.247 [4 per cell]
Y: 0.249 0.167 0.247 [8 per cell]

Calculated values
- E_form (eV/atom) = 0.0159
- electronic total energy (eV per atom) = -5.57
- volume (Å³/cell) = 789
- Fermi-level density of states (states/eV/f.u.) = 16.10